# 1
4
Lattice="-4.352 -3.333 0.290 1.073 -5.367 0.418 1.657 4.578 2.535" Properties=species:S:1:pos:R:3 comment="PBE Sc2AlAu, relaxed" total_magnetization_mub_per_cell=0.000 dos_ef_per_ev_fu=3.963 ef_ev_per_atom=-0.47 pbc="T T T"
Sc 0.000 0.000 0.000
Sc 0.545 -2.569 1.653
Au -2.167 -1.552 1.589
Al -1.639 -4.350 0.354

# 2
8
Lattice="-1.499 2.888 -2.909 -4.007 -1.684 0.393 -4.489 6.253 5.246" Properties=species:S:1:pos:R:3 comment="PBE ScAlAu2, relaxed" total_magnetization_mub_per_cell=0.000 dos_ef_per_ev_fu=1.891 ef_ev_per_atom=-0.29 pbc="T T T"
Sc 0.000 0.000 0.000
Sc -4.370 4.872 0.540
Au -2.511 3.063 -0.362
Au -3.863 0.967 1.098
Au -5.563 5.086 3.004
Au -8.053 5.799 1.720
Al -2.753 0.602 -1.258
Al -5.625 2.586 2.191

# 3
18
Lattice="4.114 0.000 0.000 -2.057 8.063 -2.504 0.000 0.095 10.003" Properties=species:S:1:pos:R:3 comment="PBE ScAl3Au2, relaxed" total_magnetization_mub_per_cell=0.000 dos_ef_per_ev_fu=2.505 ef_ev_per_atom=-0.51 pbc="T T T"
Sc 0.000 2.566 6.275
Sc 2.057 5.592 1.223
Sc 0.000 0.000 0.000
Al 0.000 0.666 3.335
Al 2.057 7.492 4.164
Al 0.000 3.457 2.803
Al 2.057 4.701 4.696
Al 2.057 1.952 1.332
Al 0.000 6.206 6.167
Al 2.057 0.047 5.001
Al 0.000 5.232 -1.225
Al 2.057 2.925 8.724
Au 0.000 3.170 0.275
Au 2.057 4.987 7.224
Au 0.000 7.556 -0.261
Au 2.057 0.602 7.759
Au 0.000 5.818 3.534
Au 2.057 2.340 3.964

# 4
4
Lattice="3.472 0.000 0.000 0.000 3.474 0.000 0.000 0.000 6.597" Properties=species:S:1:pos:R:3 comment="PBE Sc2AlAu, relaxed" total_magnetization_mub_per_cell=0.973 dos_ef_per_ev_fu=2.918 ef_ev_per_atom=-0.41 pbc="T T T"
Sc 0.000 0.000 6.457
Sc 1.736 1.737 1.785
Au 1.736 1.737 4.838
Al 0.000 0.000 3.413

# 5
10
Lattice="-5.763 -3.345 0.307 2.042 -3.004 5.595 -1.745 3.223 2.367" Properties=species:S:1:pos:R:3 comment="PBE Sc2Al2Au, relaxed" total_magnetization_mub_per_cell=0.000 dos_ef_per_ev_fu=4.127 ef_ev_per_atom=-0.59 pbc="T T T"
Sc -0.470 -0.947 4.963
Sc -3.011 -3.122 6.052
Sc -4.995 -2.179 3.306
Sc -2.455 -0.004 2.217
Au 0.000 0.000 0.000
Au -1.860 -3.175 2.951
Al -0.332 -3.810 4.943
Al -3.677 -4.801 3.826
Al -3.389 -2.539 0.959
Al -0.044 -1.549 2.076

# 6
28
Lattice="-3.875 -1.949 -0.563 1.601 -4.630 5.016 -6.786 10.157 11.541" Properties=species:S:1:pos:R:3 comment="PBE ScAl2Au4, relaxed" total_magnetization_mub_per_cell=0.000 dos_ef_per_ev_fu=3.233 ef_ev_per_atom=-0.52 pbc="T T T"
Sc -5.731 0.603 11.878
Sc -3.329 2.975 4.117
Sc -6.022 6.030 12.080
Sc -3.038 -2.452 3.915
Au -5.275 5.405 9.102
Au -3.784 -1.827 6.892
Au -7.184 3.271 12.641
Au -1.876 0.307 3.353
Au -4.547 3.372 11.126
Au -4.513 0.206 4.869
Au -8.164 6.029 9.832
Au -0.896 -2.451 6.162
Au -4.429 4.439 6.620
Au -4.631 -0.861 9.374
Au -8.462 5.484 13.772
Au -0.598 -1.906 2.222
Au -3.167 1.777 7.157
Au -5.892 1.801 8.837
Au -1.828 -5.220 5.172
Au -7.232 8.798 10.822
Al -3.395 1.484 9.741
Al -5.665 2.094 6.254
Al -9.078 7.232 11.960
Al 0.018 -3.654 4.035
Al -4.760 3.057 13.684
Al -4.300 0.521 2.311
Al -7.042 3.717 10.121
Al -2.017 -0.139 5.874

# 7
18
Lattice="-0.071 -4.681 -3.200 6.844 1.676 -2.604 3.218 -1.663 7.386" Properties=species:S:1:pos:R:3 comment="PBE Sc2Al3Au4, relaxed" total_magnetization_mub_per_cell=0.000 dos_ef_per_ev_fu=4.147 ef_ev_per_atom=-0.63 pbc="T T T"
Sc 4.762 0.203 -0.403
Sc 5.229 -4.871 1.985
Sc 3.240 -3.026 4.355
Sc 6.751 -1.642 -2.773
Al 0.000 0.000 0.000
Al 3.387 -1.502 -2.902
Al 6.800 -2.032 0.309
Al 3.156 -4.976 -0.328
Al 3.191 -2.636 1.272
Al 6.836 0.308 1.909
Au 7.902 -3.419 2.314
Au 2.053 -3.589 -2.332
Au 2.089 -1.249 -0.732
Au 7.938 -1.079 3.914
Au 7.762 0.234 -0.515
Au 2.229 -4.902 2.097
Au 5.304 -1.817 2.540
Au 4.687 -2.851 -0.958

# 8
4
Lattice="-5.607 -0.369 1.357 -4.340 -3.503 1.520 -0.852 -0.104 4.635" Properties=species:S:1:pos:R:3 comment="PBE Sc2AlAu, relaxed" total_magnetization_mub_per_cell=0.003 dos_ef_per_ev_fu=5.099 ef_ev_per_atom=-0.54 pbc="T T T"
Sc -1.036 -0.180 4.599
Sc -2.639 -0.969 1.890
Au -8.238 -3.039 5.608
Al -5.139 -1.880 3.806